[1]
La2CoW after structural relaxation, computed with PBE-GGA.

Cell and atoms, written as POSCAR:
```
La2CoW
1.0
5.439 -0.008 -0.004
1.522 5.222 0.004
-2.839 -3.463 3.087
Co La W
1 2 1
direct
0.250 0.750 0.500 Co
0.034 0.034 0.000 La
0.466 0.466 0.000 La
0.750 0.250 0.500 W
```

Computed properties:
VASP energy	-27.175	eV for the cell shown
excess energy over the best structure of this formula in the dataset	477	meV/atom
formation enthalpy at 0 K	0.68	eV/atom
SG	Immm
magnetization	0.027	Bohr magnetons per cell

***

[2]
La2CoW after structural relaxation, computed with PBE-GGA.

Cell and atoms, written as POSCAR:
```
La2CoW
1.0
5.812 0.004 0.000
2.766 5.111 0.000
-4.289 -2.557 2.973
Co La W
1 2 1
direct
0.750 0.250 0.500 Co
0.000 0.000 0.000 La
0.250 0.750 0.500 La
0.500 0.500 0.000 W
```

Computed properties:
VASP energy	-27.049	eV for the cell shown
excess energy over the best structure of this formula in the dataset	509	meV/atom
formation enthalpy at 0 K	0.72	eV/atom
SG	I-4m2
magnetization	1.408	Bohr magnetons per cell

***

[3]
LaCo2W after structural relaxation, computed with PBE-GGA.

Cell and atoms, written as POSCAR:
```
LaCo2W
1.0
-5.008 -0.066 2.837
-3.264 -4.678 0.770
4.911 2.921 0.695
Co La W
2 1 1
direct
0.007 0.007 0.000 Co
0.218 0.718 0.500 Co
0.492 0.492 0.000 La
0.782 0.282 0.500 W
```

Computed properties:
VASP energy	-29.988	eV for the cell shown
excess energy over the best structure of this formula in the dataset	445	meV/atom
formation enthalpy at 0 K	0.53	eV/atom
SG	Imm2
magnetization	0.015	Bohr magnetons per cell

***

[4]
LaCo2W after structural relaxation, computed with PBE-GGA.

Cell and atoms, written as POSCAR:
```
LaCo2W
1.0
7.033 0.000 0.000
0.000 7.033 0.000
3.516 3.516 3.048
Co W La
4 2 2
direct
0.683 0.125 0.250 Co
0.067 0.625 0.250 Co
0.375 0.317 0.750 Co
0.875 0.933 0.750 Co
0.000 0.000 0.000 W
0.750 0.250 0.500 W
0.500 0.500 0.000 La
0.250 0.750 0.500 La
```

Computed properties:
VASP energy	-59.377	eV for the cell shown
excess energy over the best structure of this formula in the dataset	520	meV/atom
formation enthalpy at 0 K	0.60	eV/atom
SG	I-42d
magnetization	0.000	Bohr magnetons per cell

***

[5]
La2Co2W after structural relaxation, computed with PBE-GGA.

Cell and atoms, written as POSCAR:
```
La2Co2W
1.0
5.583 0.000 0.000
0.000 5.583 0.000
2.792 2.792 3.530
Co W La
2 1 2
direct
0.671 0.671 0.658 Co
0.329 0.329 0.342 Co
0.000 0.000 0.000 W
0.750 0.250 0.500 La
0.250 0.750 0.500 La
```

Computed properties:
VASP energy	-34.622	eV for the cell shown
formation enthalpy at 0 K	0.48	eV/atom
SG	I4/mmm
magnetization	0.000	Bohr magnetons per cell

***

[6]
La2CoW after structural relaxation, computed with PBE-GGA.

Cell and atoms, written as POSCAR:
```
La2CoW
1.0
-0.179 3.372 -0.878
-0.076 -1.354 -5.183
-4.543 -0.209 0.121
Co La W
1 2 1
direct
0.000 0.500 0.500 Co
0.000 0.000 0.000 La
0.500 0.500 0.000 La
0.500 0.000 0.500 W
```

Computed properties:
VASP energy	-26.961	eV for the cell shown
excess energy over the best structure of this formula in the dataset	531	meV/atom
formation enthalpy at 0 K	0.74	eV/atom
SG	Pmmm
magnetization	0.000	Bohr magnetons per cell

***

[7]
LaCoW2 after structural relaxation, computed with PBE-GGA.

Cell and atoms, written as POSCAR:
```
LaCoW2
1.0
2.833 0.000 0.000
0.000 3.486 0.000
0.000 0.000 7.521
Co La W
1 1 2
direct
0.500 0.500 0.250 Co
0.500 0.500 0.750 La
0.000 0.000 0.079 W
0.000 0.000 0.421 W
```

Computed properties:
VASP energy	-35.736	eV for the cell shown
excess energy over the best structure of this formula in the dataset	98	meV/atom
formation enthalpy at 0 K	0.55	eV/atom
SG	Pmmm
magnetization	0.020	Bohr magnetons per cell

***

[8]
LaCo2W after structural relaxation, computed with PBE-GGA.

Cell and atoms, written as POSCAR:
```
LaCo2W
1.0
-2.320 -2.865 1.910
1.705 -3.591 1.200
1.004 -0.015 5.709
Co La W
2 1 1
direct
0.007 0.007 0.980 Co
0.688 0.688 0.935 Co
0.498 0.498 0.507 La
0.308 0.308 0.078 W
```

Computed properties:
VASP energy	-31.243	eV for the cell shown
excess energy over the best structure of this formula in the dataset	131	meV/atom
formation enthalpy at 0 K	0.21	eV/atom
SG	R3m
magnetization	1.576	Bohr magnetons per cell

***

[9]
LaCo2W after structural relaxation, computed with PBE-GGA.

Cell and atoms, written as POSCAR:
```
LaCo2W
1.0
-5.623 -2.931 -3.166
4.210 1.474 -1.764
0.863 -2.577 -0.859
Co La W
2 1 1
direct
0.000 0.000 0.000 Co
0.500 0.000 0.500 Co
0.000 0.500 0.500 La
0.500 0.500 0.000 W
```

Computed properties:
VASP energy	-30.311	eV for the cell shown
excess energy over the best structure of this formula in the dataset	364	meV/atom
formation enthalpy at 0 K	0.45	eV/atom
SG	C2/m
magnetization	0.000	Bohr magnetons per cell

***

[10]
La2CoW after structural relaxation, computed with PBE-GGA.

Cell and atoms, written as POSCAR:
```
La2CoW
1.0
7.778 0.000 0.000
0.000 7.778 0.000
3.889 3.889 3.036
Co W La
2 2 4
direct
0.500 0.500 0.000 Co
0.250 0.750 0.500 Co
0.000 0.000 0.000 W
0.750 0.250 0.500 W
0.586 0.125 0.250 La
0.164 0.625 0.250 La
0.375 0.414 0.750 La
0.875 0.836 0.750 La
```

Computed properties:
VASP energy	-53.241	eV for the cell shown
excess energy over the best structure of this formula in the dataset	616	meV/atom
formation enthalpy at 0 K	0.82	eV/atom
SG	I-42d
magnetization	3.208	Bohr magnetons per cell

***

[11]
La3CoW after structural relaxation, computed with PBE-GGA.

Cell and atoms, written as POSCAR:
```
La3CoW
1.0
-4.967 0.959 1.287
-1.601 -2.667 -4.192
-0.112 -4.384 2.832
Co W La
1 1 3
direct
0.000 0.000 0.000 Co
0.500 0.500 0.500 W
0.000 0.500 0.000 La
0.000 0.000 0.500 La
0.500 0.000 0.000 La
```

Computed properties:
VASP energy	-31.341	eV for the cell shown
excess energy over the best structure of this formula in the dataset	0	meV/atom
formation enthalpy at 0 K	0.70	eV/atom
SG	Pm-3m
magnetization	2.599	Bohr magnetons per cell

***

[12]
LaCoW2 after structural relaxation, computed with PBE-GGA.

Cell and atoms, written as POSCAR:
```
LaCoW2
1.0
3.151 0.000 0.000
0.000 4.506 0.000
0.000 0.000 5.182
Co La W
1 1 2
direct
0.500 0.000 0.500 Co
0.000 0.500 0.500 La
0.000 0.000 0.000 W
0.500 0.500 0.000 W
```

Computed properties:
VASP energy	-35.153	eV for the cell shown
excess energy over the best structure of this formula in the dataset	244	meV/atom
formation enthalpy at 0 K	0.70	eV/atom
SG	Pmmm
magnetization	1.289	Bohr magnetons per cell